A plane-wave DFT calculation with PBE was carried out for K2BeTl after structural relaxation.

Results
* offset from the most stable computed form: 147 meV per atom
* DOS at the Fermi energy: 1.60 states/eV/cell
* energy of formation: 0.4057 eV per atom

a = 3.779 Å, b = 3.776 Å, c = 10.229 Å
α = 90.00°, β = 90.00°, γ = 90.00°
Sites, in units of the cell vectors:
Be (0.500, 0.500, 0.660)
Tl (0.000, 0.000, 0.590)
K (0.000, 0.000, 0.927)
K (0.500, 0.500, 0.323)